No. 1
# MnGeN PBE optimized geometry
data_MnGeN
_chemical_formula_sum 'Mn2 Ge2 N2'
_cell_length_a 5.615
_cell_length_b 5.615
_cell_length_c 3.933
_cell_angle_alpha 110.52
_cell_angle_beta 110.52
_cell_angle_gamma 120.59
_symmetry_space_group_name_H-M 'P 1'
_symmetry_Int_Tables_number 1
loop_
_symmetry_equiv_pos_as_xyz
'x,y,z'
loop_
_atom_site_label
_atom_site_type_symbol
_atom_site_fract_x
_atom_site_fract_y
_atom_site_fract_z
N1 N 0.015 0.985 0.000
Ge1 Ge 0.413 0.587 0.500
Ge2 Ge 0.663 0.337 0.000
N2 N 0.765 0.235 0.500
Mn1 Mn 0.978 0.022 0.500
Mn2 Mn 0.228 0.772 0.000
# - Raw formation energy: 4.74 kcal/mol of atoms
# - Distance to the lowest polymorph of the same formula: 0.00 eV/f.u.

No. 2
# Mn3GeN PBE optimized geometry
data_Mn3GeN
_chemical_formula_sum 'Mn6 Ge2 N2'
_cell_length_a 5.101
_cell_length_b 5.572
_cell_length_c 3.796
_cell_angle_alpha 90.00
_cell_angle_beta 90.00
_cell_angle_gamma 90.00
_symmetry_space_group_name_H-M 'P 1'
_symmetry_Int_Tables_number 1
loop_
_symmetry_equiv_pos_as_xyz
'x,y,z'
loop_
_atom_site_label
_atom_site_type_symbol
_atom_site_fract_x
_atom_site_fract_y
_atom_site_fract_z
Mn1 Mn 0.500 0.250 0.500
Mn2 Mn 0.500 0.750 0.500
N1 N 0.500 0.250 0.000
Ge1 Ge 0.000 0.750 0.500
Mn3 Mn 0.752 0.000 0.000
N2 N 0.500 0.750 0.000
Ge2 Ge 0.000 0.250 0.500
Mn4 Mn 0.752 0.500 0.000
Mn5 Mn 0.248 0.500 0.000
Mn6 Mn 0.248 0.000 0.000
# - Raw formation energy: -1.40 kcal/mol of atoms
# - Distance to the lowest polymorph of the same formula: 1.12 eV/f.u.

No. 3
# Mn8Ge2N PBE optimized geometry
data_Mn8Ge2N
_chemical_formula_sum 'Mn8 Ge2 N1'
_cell_length_a 3.576
_cell_length_b 3.576
_cell_length_c 9.938
_cell_angle_alpha 90.00
_cell_angle_beta 90.00
_cell_angle_gamma 90.00
_symmetry_space_group_name_H-M 'P 1'
_symmetry_Int_Tables_number 1
loop_
_symmetry_equiv_pos_as_xyz
'x,y,z'
loop_
_atom_site_label
_atom_site_type_symbol
_atom_site_fract_x
_atom_site_fract_y
_atom_site_fract_z
N1 N 0.000 0.000 0.000
Mn1 Mn 0.500 0.000 0.882
Mn2 Mn 0.500 0.500 0.694
Mn3 Mn 0.000 0.500 0.882
Mn4 Mn 0.000 0.500 0.118
Mn5 Mn 0.500 0.000 0.118
Mn6 Mn 0.500 0.000 0.500
Ge1 Ge 0.000 0.000 0.684
Ge2 Ge 0.000 0.000 0.316
Mn7 Mn 0.500 0.500 0.306
Mn8 Mn 0.000 0.500 0.500
# - Raw formation energy: 0.74 kcal/mol of atoms

- Among the records above, which one has the highest raw formation energy?
  MnGeN

- What is the raw formation energy in the second record?
  -1.40 kcal/mol of atoms